# TmGeAu

An optimized crystal structure of TmGeAu (PBEsol, Alexandria via LeMat-Bulk).

Structure (POSCAR):
```
TmGeAu
1.0
-3.7961 -0.3263 -2.1747
2.7959 -3.3802 0.0516
-3.1211 -2.4927 5.8221
Au Tm Ge
2 2 2
Direct
0.3333 0.6667 0.7047
0.6667 0.3333 0.2047
0.0000 0.0000 0.5009
0.0000 0.0000 0.0009
0.6667 0.3333 0.7936
0.3333 0.6667 0.2936
```

The total energy is -5.46 eV per atom. Its formation energy is -0.871 eV/atom. Its crystal system is hexagonal.